MnNiHRu2 | PBE | relaxed

Calculated values
The energy above the most stable polymorph in this dataset is 0 meV/atom. The calculation puts the density of states at the Fermi level at 4.3 states/eV/cell. As for the calculated density: 9.72 Mg/m³.

Unit cell a=3.8608 b=3.8608 c=3.6315 alpha=90.00 beta=90.00 gamma=90.00
Atoms (fractional coordinates):
Ru 0.0000 0.5000 0.0000
Ru 0.5000 0.0000 0.0000
Mn 0.5000 0.5000 0.5000
H 0.0000 0.0000 0.0000
Ni 0.0000 0.0000 0.5000

=====

HfAl2In2 | PBE | relaxed

Calculated values
The calculation puts the density of states at the Fermi level at 5.6 states/eV/cell. As for the calculated density: 7.31 Mg/m³. The value obtained for the formation energy is 0.5 eV per formula unit.

Unit cell a=7.5571 b=7.5571 c=3.6750 alpha=90.00 beta=90.00 gamma=90.00
Atoms (fractional coordinates):
Hf 0.0000 0.0000 0.0000
Hf 0.5000 0.5000 0.0000
Al 0.3706 0.8706 0.0000
Al 0.8706 0.6294 0.0000
Al 0.6294 0.1294 0.0000
Al 0.1294 0.3706 0.0000
In 0.1693 0.6693 0.5000
In 0.6693 0.8307 0.5000
In 0.8307 0.3307 0.5000
In 0.3307 0.1693 0.5000